Record 1
Entry from Alexandria: SrYAl after structural relaxation (GGA-PBE).

Cell and atoms, written as POSCAR:
```
SrYAl
1.0
3.5868 0.0030 0.0080
1.7865 7.6423 0.0420
-0.0202 3.4497 7.2436
Y Sr Al
2 2 2
Direct
0.3163 0.8759 0.8452 Y
0.6048 0.2981 0.8594 Y
0.2401 0.0269 0.3318 Sr
0.5008 0.5068 0.3717 Sr
0.9207 0.6667 0.6562 Al
0.0015 0.5052 0.0274 Al
```

M_tot: 0.00 μB per atom
raw total energy: -4.026 eV per atom
formation energy from the elements: -0.19 eV per formula unit


Record 2
Entry from Alexandria: Sm2YNi2 after structural relaxation (GGA-PBE).

Cell and atoms, written as POSCAR:
```
Sm2YNi2
1.0
3.8158 0.0000 0.0000
0.0000 4.1936 -1.1922
0.0000 -0.1533 7.4324
Y Ni Sm
1 2 2
Direct
0.0000 0.0000 0.0000 Y
0.0000 0.2010 0.4021 Ni
0.0000 0.7990 0.5979 Ni
0.5000 0.6491 0.2983 Sm
0.5000 0.3509 0.7017 Sm
```

M_tot: 0.00 μB per atom
raw total energy: -5.774 eV per atom
formation energy from the elements: -1.40 eV per formula unit


Record 3
Entry from Alexandria: YTeMo2 after structural relaxation (GGA-PBE).

Cell and atoms, written as POSCAR:
```
YTeMo2
1.0
-2.0151 2.9538 -3.3568
-0.0283 -2.6614 -2.3249
-4.6470 -1.5135 1.4578
Te Mo Y
1 2 1
Direct
0.5000 0.2500 0.2500 Te
0.0000 0.3325 0.5278 Mo
0.0000 0.1675 0.9722 Mo
0.5000 0.7500 0.7500 Y
```

formation energy (no corrections): 0.2295 eV/atom
M_tot: 0.00 μB per atom
raw total energy: -7.587 eV per atom


Record 4
Entry from Alexandria: LiSeSCl2 after structural relaxation (GGA-PBE).

Cell and atoms, written as POSCAR:
```
LiSeSCl2
1.0
5.0824 0.0000 0.0000
0.0000 5.0824 0.0000
0.0000 0.0000 4.9076
Li Cl Se S
1 2 1 1
Direct
0.5000 0.5000 0.5000 Li
0.5000 0.0000 0.0000 Cl
0.0000 0.5000 0.0000 Cl
0.0000 0.0000 0.0000 Se
0.0000 0.0000 0.5000 S
```

formation energy (no corrections): -0.2528 eV/atom
M_tot: 0.00 μB per atom
raw total energy: -2.897 eV per atom